Compound: YMgW
Source: Alexandria
Functional: PBEsol
Structure: relaxed

- energy (eV per cell) = -20.51
- symmetry = P3m1
- calculated volume (Å³/atom) = 20.34

POSCAR file:
```
YMgW
1.0
-2.4794 -0.1589 -1.6201
0.4752 -1.9547 2.1797
-3.6931 4.8717 5.1740
Mg W Y
1 1 1
direct
0.0000 0.0000 0.9742 Mg
0.3333 0.6667 0.6774 W
0.6667 0.3333 0.3483 Y
```

Compound: MgZnW2
Source: Alexandria
Functional: PBEsol
Structure: relaxed

- energy (eV per cell) = -29.16
- symmetry = Pmmm
- calculated volume (Å³/atom) = 15.62

POSCAR file:
```
MgZnW2
1.0
2.6695 0.0000 0.0000
0.0000 4.3943 0.0000
0.0000 0.0000 5.3271
Mg W Zn
1 2 1
direct
0.5000 0.5000 0.5000 Mg
0.0000 0.0000 0.7475 W
0.0000 0.0000 0.2525 W
0.5000 0.5000 0.0000 Zn
```

Compound: MgZnW2
Source: Alexandria
Functional: PBEsol
Structure: relaxed

- energy (eV per cell) = -29.23
- symmetry = Pmm2
- calculated volume (Å³/atom) = 15.95

POSCAR file:
```
MgZnW2
1.0
2.6591 0.0000 0.0000
0.0000 4.2251 0.0000
0.0000 0.0000 5.6786
Mg W Zn
1 2 1
direct
0.5000 0.5000 0.7362 Mg
0.0000 0.0000 0.0192 W
0.5000 0.5000 0.2366 W
0.0000 0.0000 0.5079 Zn
```

Compound: MgZnW2
Source: Alexandria
Functional: PBEsol
Structure: relaxed

- energy (eV per cell) = -30.02
- symmetry = Cmm2
- calculated volume (Å³/atom) = 15.91

POSCAR file:
```
MgZnW2
1.0
-1.2708 1.9757 1.3849
-1.0328 -2.3981 0.7865
6.2268 -0.5503 6.4989
Mg W Zn
1 2 1
direct
0.5000 0.5000 0.2530 Mg
0.0000 0.0000 0.9912 W
0.5000 0.5000 0.7483 W
0.0000 0.0000 0.5075 Zn
```

Question: Which formula does entry 2 have?
Answer: MgZnW2

Question: energy of number 2 (MgZnW2)?
Answer: -29.16 eV per cell

Copy entry 2 word for word.
Compound: MgZnW2
Source: Alexandria
Functional: PBEsol
Structure: relaxed

- energy (eV per cell) = -29.16
- symmetry = Pmmm
- calculated volume (Å³/atom) = 15.62

POSCAR file:
```
MgZnW2
1.0
2.6695 0.0000 0.0000
0.0000 4.3943 0.0000
0.0000 0.0000 5.3271
Mg W Zn
1 2 1
direct
0.5000 0.5000 0.5000 Mg
0.0000 0.0000 0.7475 W
0.0000 0.0000 0.2525 W
0.5000 0.5000 0.0000 Zn
```